Entry 1:
Density functional theory data (PBE) for a relaxed Rb3PaTe6 crystal.

```
Rb3PaTe6
1.0
-2.628 2.529 -6.435
8.645 -0.850 -1.030
-3.953 -7.670 1.434
Te Pa Rb
6 1 3
direct
0.203 0.214 0.214
0.989 0.786 0.000
0.677 0.319 0.000
0.989 0.000 0.786
0.677 0.000 0.319
0.358 0.681 0.681
0.415 0.000 0.000
0.284 0.499 0.000
0.284 0.000 0.499
0.785 0.501 0.501
```

Calculated values
Its symmetry is R3m (160). Its density of states at the Fermi level is 7.0 states/eV/f.u. The energy relative to the elements, uncorrected comes out at -57.3 kJ/mol of atoms. As for the offset from the most stable computed form: 0.0 meV per atom.

---

Entry 2:
Density functional theory data (PBE) for a relaxed Rb5PaTe6 crystal.

```
Rb5PaTe6
1.0
-2.068 7.658 3.734
-8.890 1.373 -0.277
-5.201 -2.836 6.668
Te Rb Pa
6 5 1
direct
0.212 0.931 0.722
0.212 0.652 0.278
0.215 0.196 0.000
0.788 0.069 0.278
0.785 0.804 0.000
0.788 0.348 0.722
0.500 0.500 0.000
0.500 0.819 0.362
0.500 0.181 0.638
0.000 0.664 0.671
0.000 0.336 0.329
0.000 0.000 0.000
```

Calculated values
Its symmetry is C2/m (12). Its density of states at the Fermi level is 10.0 states/eV/f.u. The energy relative to the elements, uncorrected comes out at -85.6 kJ/mol of atoms.

---

Entry 3:
Density functional theory data (PBE) for a relaxed Rb3Pa2Te7 crystal.

```
Rb3Pa2Te7
1.0
-3.513 1.907 3.116
2.427 -2.960 4.547
11.066 13.318 4.327
Te Rb Pa
7 3 2
direct
0.500 0.768 0.410
0.000 0.794 0.158
0.500 0.699 0.762
0.000 0.206 0.842
0.000 0.000 0.000
0.500 0.301 0.238
0.500 0.232 0.590
0.500 0.500 0.000
0.000 0.732 0.594
0.000 0.268 0.406
0.500 0.199 0.752
0.500 0.801 0.248
```

Calculated values
Its symmetry is P2/m (10). Its density of states at the Fermi level is 6.1 states/eV/f.u. The energy relative to the elements, uncorrected comes out at -70.8 kJ/mol of atoms. As for the offset from the most stable computed form: 166.7 meV per atom.

---

Entry 4:
Density functional theory data (PBE) for a relaxed Rb2Pa3Te8 crystal.

```
Rb2Pa3Te8
1.0
-6.470 1.968 -3.800
-4.861 -4.883 5.749
3.712 8.659 3.490
Te Pa Rb
8 3 2
direct
0.103 0.902 0.804
0.947 0.604 0.208
0.612 0.141 0.809
0.053 0.396 0.792
0.388 0.332 0.191
0.388 0.859 0.191
0.612 0.668 0.809
0.897 0.098 0.196
0.500 0.000 0.000
0.000 0.256 0.000
0.000 0.744 0.000
0.333 0.260 0.519
0.667 0.740 0.481
```

Calculated values
Its symmetry is C2/m (12). Its density of states at the Fermi level is 9.1 states/eV/f.u. The energy relative to the elements, uncorrected comes out at -86.3 kJ/mol of atoms. As for the offset from the most stable computed form: 0.0 meV per atom.

---

Entry 5:
Density functional theory data (PBE) for a relaxed RbPaTe3 crystal.

```
RbPaTe3
1.0
6.036 0.540 -1.393
-2.382 5.573 -1.393
-0.087 -0.146 10.060
Te Rb Pa
6 2 2
direct
0.694 0.194 0.887
0.044 0.204 0.249
0.296 0.456 0.751
0.306 0.806 0.113
0.704 0.544 0.249
0.956 0.796 0.751
0.278 0.778 0.500
0.722 0.222 0.500
0.750 0.750 0.000
0.250 0.250 0.000
```

Calculated values
Its symmetry is Fmmm (69). Its density of states at the Fermi level is 3.8 states/eV/f.u. The energy relative to the elements, uncorrected comes out at -78.7 kJ/mol of atoms. As for the offset from the most stable computed form: 111.2 meV per atom.

---

Entry 6:
Density functional theory data (PBE) for a relaxed Rb2PaTe4 crystal.

```
Rb2PaTe4
1.0
-3.597 -3.553 1.589
3.547 -2.101 3.331
-2.646 8.362 3.874
Rb Te Pa
2 4 1
direct
0.256 0.256 0.512
0.744 0.744 0.488
0.600 0.100 0.201
0.100 0.600 0.201
0.400 0.900 0.799
0.900 0.400 0.799
0.000 0.000 0.000
```

Calculated values
Its symmetry is I4/mmm (139). Its density of states at the Fermi level is 2.8 states/eV/f.u. The energy relative to the elements, uncorrected comes out at -72.4 kJ/mol of atoms. As for the offset from the most stable computed form: 64.2 meV per atom.

---

Entry 7:
Density functional theory data (PBE) for a relaxed Rb4PaTe5 crystal.

```
Rb4PaTe5
1.0
-4.394 3.214 2.718
-6.040 2.777 -6.239
-6.733 -5.596 2.543
Pa Rb Te
1 4 5
direct
0.999 0.000 0.000
0.217 0.282 0.282
0.499 0.282 0.718
0.499 0.718 0.282
0.781 0.718 0.718
0.824 0.350 0.000
0.174 0.650 0.000
0.824 0.000 0.350
0.499 0.000 0.000
0.174 0.000 0.650
```

Calculated values
Its symmetry is I4/mmm (139). Its density of states at the Fermi level is 7.6 states/eV/f.u. The energy relative to the elements, uncorrected comes out at -83.8 kJ/mol of atoms. As for the offset from the most stable computed form: 45.1 meV per atom.

---

Entry 8:
Density functional theory data (PBE) for a relaxed Rb3PaTe5 crystal.

```
Rb3PaTe5
1.0
6.609 0.000 0.000
0.000 9.812 -5.665
0.000 0.000 11.330
Te Pa Rb
10 2 6
direct
0.750 0.776 0.000
0.000 0.667 0.333
0.750 0.000 0.776
0.000 0.333 0.667
0.250 0.776 0.776
0.250 0.000 0.224
0.500 0.667 0.333
0.750 0.224 0.224
0.500 0.333 0.667
0.250 0.224 0.000
0.500 0.000 0.000
0.000 0.000 0.000
0.250 0.386 0.386
0.250 0.000 0.614
0.250 0.614 0.000
0.750 0.614 0.614
0.750 0.000 0.386
0.750 0.386 0.000
```

Calculated values
Its symmetry is P6_3/mcm (193). Its density of states at the Fermi level is 7.5 states/eV/f.u. The energy relative to the elements, uncorrected comes out at -80.0 kJ/mol of atoms.